(1)
Material: TaAlCd2
Method: DFT, GGA-PBE
State: optimized geometry

Cell: 3.0301 4.8474 5.2266 Å, 90.00 90.00 90.00°
With the nearest neighbours (Å) after each atom.
Element x y z (fractional)
Ta 0.0000 0.0000 0.0000  4 Al 2.86, 4 Cd 3.02, 2 Ta 3.03
Al 0.5000 0.5000 0.0000  4 Ta 2.86, 4 Cd 3.02, 2 Al 3.03
Cd 0.0000 0.5000 0.5000  6 Cd 2.86-3.03, 4 Al 3.02
Cd 0.5000 0.0000 0.5000  6 Cd 2.86-3.03, 4 Ta 3.02

Calculated values
Energy relative to the elements ... 0.238 eV per atom

(2)
Material: LiCuNi
Method: DFT, GGA-PBE
State: optimized geometry

Cell: 7.5416 4.3887 4.9121 Å, 90.00 121.79 90.00°
With the nearest neighbours (Å) after each atom.
Element x y z (fractional)
Li 0.1648 0.0000 0.4978  3 Li 2.50-2.54, 5 Cu 2.51-2.54, 4 Ni 2.53-2.58
Li 0.3352 0.5000 0.5022  3 Li 2.50-2.54, 5 Cu 2.51-2.54, 4 Ni 2.53-2.58
Li 0.6648 0.5000 0.4978  3 Li 2.50-2.54, 5 Cu 2.51-2.54, 4 Ni 2.53-2.58
Li 0.8352 0.0000 0.5022  3 Li 2.50-2.54, 5 Cu 2.51-2.54, 4 Ni 2.53-2.58
Cu 0.0000 0.4971 0.5000  6 Li 2.51-2.54, 4 Ni 2.52-2.53, 2 Cu 2.57
Cu 0.0000 0.6718 0.0000  6 Ni 2.50-2.56, 4 Li 2.53-2.54, 2 Cu 2.57
Cu 0.5000 0.1718 0.0000  6 Ni 2.50-2.56, 4 Li 2.53-2.54, 2 Cu 2.57
Cu 0.5000 0.9971 0.5000  6 Li 2.51-2.54, 4 Ni 2.52-2.53, 2 Cu 2.57
Ni 0.1693 0.1773 0.0005  5 Cu 2.50-2.56, 3 Ni 2.51-2.55, 4 Li 2.53-2.58
Ni 0.3307 0.6773 0.9995  5 Cu 2.50-2.56, 3 Ni 2.51-2.55, 4 Li 2.53-2.58
Ni 0.6693 0.6773 0.0005  5 Cu 2.50-2.56, 3 Ni 2.51-2.55, 4 Li 2.53-2.58
Ni 0.8307 0.1773 0.9995  5 Cu 2.50-2.56, 3 Ni 2.51-2.55, 4 Li 2.53-2.58

Calculated values
Energy relative to the elements ... -0.047 eV per atom
Relative energy among the computed polymorphs ... 0.000 eV per atom

- The highest energy relative to the elements belongs to which entry?
  TaAlCd2